(1)
First-principles (GGA-PBE) data for a relaxed structure of AcTh2Si6, as listed in Alexandria via LeMat-Bulk.

a b c (Å): 7.1976 7.1976 4.2946
angles (deg): 90.00 90.00 120.00
Space group P6/mmm (No. 191)
Inequivalent atoms, fractional coordinates:
Ac1 0.0000 0.0000 0.0000
Th1 0.3333 0.6667 0.0000
Si1 0.0000 0.3373 0.5000

Results
- Energy relative to the elements, uncorrected: -567 meV per atom
- Density of states at the Fermi level: 5.9 states/eV/cell
- Final energy: -56.592 eV/f.u.
- ρ: 7.4 g/cm³
- Crystal system: hexagonal


(2)
First-principles (GGA-PBE) data for a relaxed structure of TaCdPt, as listed in Alexandria via LeMat-Bulk.

a b c (Å): 4.9710 2.8530 7.6328
angles (deg): 90.00 95.84 90.00
Space group P2/m (No. 10)
Inequivalent atoms, fractional coordinates:
Ta1 0.2234 0.0000 0.3708
Cd1 0.0000 0.5000 0.0000
Cd2 0.5000 0.0000 0.0000
Pt1 0.2825 0.5000 0.6809

Results
- Energy relative to the elements: -20.0 kJ/mol of atoms
- Density of states at the Fermi level: 5.3 states/eV/cell
- Final energy: -19.432 eV/f.u.
- ρ: 15.1 g/cm³
- Crystal system: monoclinic


(3)
First-principles (GGA-PBE) data for a relaxed structure of Ca3DyZr2As6, as listed in Alexandria via LeMat-Bulk.

a b c (Å): 6.9794 12.0997 7.2500
angles (deg): 90.00 108.82 90.00
Space group C2/m (No. 12)
Inequivalent atoms, fractional coordinates:
Ca1 0.0000 0.0000 0.0000
Ca2 0.0000 0.3363 0.0000
Dy1 0.0000 0.5000 0.5000
Zr1 0.0000 0.1674 0.5000
As1 0.2316 0.0000 0.7287
As2 0.2492 0.3278 0.7298

Results
- Energy relative to the elements: -115.6 kJ/mol of atoms
- Density of states at the Fermi level: 8.2 states/eV/cell
- Final energy: -69.976 eV/f.u.
- ρ: 5.2 g/cm³
- Crystal system: monoclinic


(4)
First-principles (GGA-PBE) data for a relaxed structure of PmHoAl, as listed in Alexandria via LeMat-Bulk.

a b c (Å): 3.4940 3.4940 23.9550
angles (deg): 90.00 90.00 120.00
Space group R3m (No. 160, hexagonal axes)
Inequivalent atoms, fractional coordinates:
Pm1 0.0000 0.0000 0.0000
Ho1 0.0000 0.0000 0.7934
Al1 0.0000 0.0000 0.5610

Results
- Energy relative to the elements: -0.6 kJ/mol of atoms
- Density of states at the Fermi level: 12.2 states/eV/cell
- Final energy: -13.089 eV/f.u.
- ρ: 6.6 g/cm³
- Crystal system: trigonal


(5)
First-principles (GGA-PBE) data for a relaxed structure of SrIr2Pb, as listed in Alexandria via LeMat-Bulk.

a b c (Å): 4.5815 4.5815 3.9061
angles (deg): 90.00 90.00 90.00
Space group P4/mmm (No. 123)
Inequivalent atoms, fractional coordinates:
Sr1 0.0000 0.0000 0.0000
Ir1 0.0000 0.5000 0.5000
Pb1 0.5000 0.5000 0.0000

Results
- Energy relative to the elements: 26.8 kJ/mol of atoms
- Density of states at the Fermi level: 2.5 states/eV/cell
- Final energy: -22.000 eV/f.u.
- ρ: 13.8 g/cm³
- Crystal system: tetragonal


(6)
First-principles (GGA-PBE) data for a relaxed structure of La2BeZnN, as listed in Alexandria via LeMat-Bulk.

a b c (Å): 5.3922 5.3922 3.3677
angles (deg): 90.00 90.00 90.00
Space group P4/mmm (No. 123)
Inequivalent atoms, fractional coordinates:
La1 0.0000 0.5000 0.0000
Be1 0.0000 0.0000 0.5000
Zn1 0.5000 0.5000 0.5000
N1 0.0000 0.0000 0.0000

Results
- Energy relative to the elements, uncorrected: -564 meV per atom
- Density of states at the Fermi level: 3.5 states/eV/cell
- Final energy: -26.001 eV/f.u.
- ρ: 6.2 g/cm³
- Crystal system: tetragonal